Record 1
The following is a GGA-PBE calculation of a relaxed Ba6In2Ni crystal, from Alexandria.

```
Ba6In2Ni
1.0
8.125 0.000 0.000
0.000 8.928 0.000
-8.074 0.000 11.661
Ba In Ni
12 4 2
Direct
0.120 0.195 0.444
0.120 0.305 0.944
0.260 0.677 0.446
0.260 0.823 0.946
0.357 0.021 0.250
0.357 0.479 0.750
0.643 0.521 0.250
0.643 0.979 0.750
0.740 0.177 0.054
0.740 0.323 0.554
0.880 0.695 0.056
0.880 0.805 0.556
0.213 0.099 0.747
0.213 0.401 0.247
0.787 0.599 0.753
0.787 0.901 0.253
0.000 0.000 0.000
0.000 0.500 0.500
```

Calculated values
E_form (meV/atom): -157
DOS at the Fermi energy (states/eV/f.u.): 12.04
Mass density (g/cm³): 4.37
Volume (Å³ per cell): 845.9
Calculated total energy (eV per atom): -2.689

Record 2
The following is a GGA-PBE calculation of a relaxed BaInNi3 crystal, from Alexandria.

```
BaInNi3
1.0
4.874 0.000 0.000
0.000 4.874 0.000
0.000 0.000 4.874
Ba In Ni
1 1 3
Direct
0.000 0.000 0.000
0.500 0.500 0.500
0.000 0.500 0.500
0.500 0.000 0.500
0.500 0.500 0.000
```

Calculated values
E_form (meV/atom): 480
DOS at the Fermi energy (states/eV/f.u.): 7.86
Mass density (g/cm³): 6.14
Volume (Å³ per cell): 115.8
Calculated total energy (eV per atom): -3.921
Distance to the lowest polymorph of the same formula (meV/atom): 0

Record 3
The following is a GGA-PBE calculation of a relaxed Ba4InNi crystal, from Alexandria.

```
Ba4InNi
1.0
0.000 5.041 5.041
5.041 0.000 5.041
5.041 5.041 0.000
Ba In Ni
4 1 1
Direct
0.125 0.125 0.125
0.125 0.125 0.625
0.125 0.625 0.125
0.625 0.125 0.125
0.750 0.750 0.750
0.500 0.500 0.500
```

Calculated values
E_form (meV/atom): 685
DOS at the Fermi energy (states/eV/f.u.): 9.44
Mass density (g/cm³): 4.69
Volume (Å³ per cell): 256.2
Calculated total energy (eV per atom): -2.017

Among the records above, which one has the highest calculated total energy?
Ba4InNi

Which value of mass density does entry 3 give?
4.69 g/cm³